Compound: Ca2TiTeO6
Source: Alexandria
Functional: PBE
Structure: optimized geometry

Structure (POSCAR):
```
Ca2TiTeO6
1.0
-2.208 2.184 3.570
0.347 -4.681 3.079
4.953 1.699 2.024
O Ti Te Ca
6 1 1 2
Direct
0.713 0.237 0.763 O
0.713 0.763 0.763 O
0.218 0.000 0.000 O
0.198 0.500 0.500 O
0.713 0.763 0.237 O
0.713 0.237 0.237 O
0.591 0.000 0.000 Ti
0.608 0.500 0.500 Te
0.990 0.000 0.500 Ca
0.990 0.500 0.000 Ca
```

Summary:
SG: P4mm (99)
uncorrected formation energy: -228 kJ/mol of atoms

***

Compound: TlCdS2
Source: Alexandria
Functional: PBE
Structure: optimized geometry

Structure (POSCAR):
```
TlCdS2
1.0
4.328 -0.004 -0.003
-2.167 3.744 0.006
-0.005 0.004 7.303
S Tl Cd
2 1 1
Direct
0.403 0.829 0.586 S
0.735 0.496 0.044 S
0.403 0.828 0.198 Tl
0.736 0.496 0.691 Cd
```

Summary:
SG: Cm (8)
uncorrected formation energy: -30 kJ/mol of atoms
polymorph energy (0 for the lowest one): 11 kJ/mol of formula units

***

Compound: La2ZrRe
Source: Alexandria
Functional: PBE
Structure: optimized geometry

Structure (POSCAR):
```
La2ZrRe
1.0
-6.270 -2.269 -1.140
-1.933 -6.413 -0.944
3.009 4.708 3.813
La Re Zr
2 1 1
Direct
0.945 0.945 0.000 La
0.555 0.555 0.000 La
0.750 0.250 0.500 Re
0.250 0.750 0.500 Zr
```

Summary:
SG: Immm (71)
formation energy: 1.13 eV/f.u.
polymorph energy (0 for the lowest one): 68 kJ/mol of formula units